The following is a DFT calculation (PBE with a Hubbard U) of an optimized crystal structure of TlFe2SnO6.

VASP energy ... -0.4419 Ry/atom

Lattice parameters (Å, degrees): 5.430 5.470 5.703 91.04 117.85 119.55
Fractional positions:
Tl: 0.000 0.000 0.000
Fe: 0.437 0.214 0.659
Fe: 0.445 0.721 0.169
Sn: 0.023 0.511 0.536
O: 0.249 0.448 0.355
O: 0.261 0.347 0.850
O: 0.502 0.907 0.856
O: 0.555 0.107 0.364
O: 0.906 0.797 0.360
O: 0.946 0.591 0.858